Entry 1:
A plane-wave DFT calculation with PBE was carried out for crystalline K2LiGa2 at its relaxed geometry.

The structure belongs to space group P4/mbm (No. 127); the cell edges are 7.4186, 7.4186 and 5.8001 Å and the angles 90.00°, 90.00° and 90.00°. Symmetry generates all atoms from K at (0.1834, 0.3166, 0.0000), Li at (0.0000, 0.0000, 0.5000) and Ga at (0.1197, 0.6197, 0.5000).

The calculation puts the energy of formation at 0.065 eV/atom.

Entry 2:
A plane-wave DFT calculation with PBE was carried out for crystalline AcNpP2 at its relaxed geometry.

The structure belongs to space group P4/mmm (No. 123); the cell edges are 3.5607, 3.5607 and 7.1457 Å and the angles 90.00°, 90.00° and 90.00°. Symmetry generates all atoms from Ac at (0.0000, 0.0000, 0.0000), Np at (0.0000, 0.0000, 0.5000) and P at (0.5000, 0.5000, 0.2773).

For the polymorph energy (0 for the lowest one), the calculation gives 1.19 eV per formula unit. The calculation puts the energy of formation at -0.800 eV/atom.